--- w ---
Material: Mg3ZrO
Method: DFT, PBE
State: relaxed

Calculated values
* density: 1598 kg/m3

The structure in CIF format:
```
data_Mg3ZrO
_symmetry_space_group_name_H-M 'P m -3 m'
_symmetry_Int_Tables_number 221
_symmetry_space_group_name_Hall '-P 4 2 3'
_cell_length_a 5.7198
_cell_length_b 5.7198
_cell_length_c 5.7198
_cell_angle_alpha 90.00
_cell_angle_beta 90.00
_cell_angle_gamma 90.00
loop_
_atom_site_label
_atom_site_type_symbol
_atom_site_fract_x
_atom_site_fract_y
_atom_site_fract_z
_atom_site_occupancy
Mg1 Mg 0.0000 0.0000 0.5000 1
Zr1 Zr 0.0000 0.0000 0.0000 1
O1 O 0.5000 0.5000 0.5000 1
```

=====

--- x ---
Material: Mg3ZrO
Method: DFT, PBE
State: relaxed

Calculated values
* density: 3344 kg/m3

The structure in CIF format:
```
data_Mg3ZrO
_symmetry_space_group_name_H-M 'P m -3 m'
_symmetry_Int_Tables_number 221
_symmetry_space_group_name_Hall '-P 4 2 3'
_cell_length_a 4.4721
_cell_length_b 4.4721
_cell_length_c 4.4721
_cell_angle_alpha 90.00
_cell_angle_beta 90.00
_cell_angle_gamma 90.00
loop_
_atom_site_label
_atom_site_type_symbol
_atom_site_fract_x
_atom_site_fract_y
_atom_site_fract_z
_atom_site_occupancy
Mg1 Mg 0.0000 0.0000 0.5000 1
Zr1 Zr 0.5000 0.5000 0.5000 1
O1 O 0.0000 0.0000 0.0000 1
```

=====

Tell me which of them is the least stable. Sure, it is w.

=====

--- w ---
Material: Mg5Os3
Method: DFT, PBE
State: relaxed

Calculated values
* density: 8613 kg/m3

The structure in CIF format:
```
data_Mg5Os3
_symmetry_space_group_name_H-M 'C m m m'
_symmetry_Int_Tables_number 65
_symmetry_space_group_name_Hall '-C 2 2'
_cell_length_a 7.7588
_cell_length_b 8.6278
_cell_length_c 3.9871
_cell_angle_alpha 90.00
_cell_angle_beta 90.00
_cell_angle_gamma 90.00
loop_
_atom_site_label
_atom_site_type_symbol
_atom_site_fract_x
_atom_site_fract_y
_atom_site_fract_z
_atom_site_occupancy
Mg1 Mg 0.0000 0.0000 0.0000 1
Mg2 Mg 0.0000 0.2430 0.5000 1
Mg3 Mg 0.2500 0.2500 0.0000 1
Os1 Os 0.0000 0.5000 0.0000 1
Os2 Os 0.2212 0.5000 0.5000 1
```

=====

--- x ---
Material: Mg5Os3
Method: DFT, PBE
State: relaxed

Calculated values
* density: 8019 kg/m3

The structure in CIF format:
```
data_Mg5Os3
_symmetry_space_group_name_H-M 'P 63/m c m'
_symmetry_Int_Tables_number 193
_symmetry_space_group_name_Hall '-P 6c 2'
_cell_length_a 8.2713
_cell_length_b 8.2713
_cell_length_c 4.8396
_cell_angle_alpha 90.00
_cell_angle_beta 90.00
_cell_angle_gamma 120.00
loop_
_atom_site_label
_atom_site_type_symbol
_atom_site_fract_x
_atom_site_fract_y
_atom_site_fract_z
_atom_site_occupancy
Mg1 Mg 0.0000 0.2367 0.2500 1
Mg2 Mg 0.3333 0.6667 0.0000 1
Os1 Os 0.0000 0.4383 0.7500 1
```

=====

Tell me which of them is the least stable. Sure, it is x.

=====

--- w ---
Material: MgPOs2
Method: DFT, PBE
State: relaxed

Calculated values
* density: 12532 kg/m3

The structure in CIF format:
```
data_MgPOs2
_symmetry_space_group_name_H-M 'C 1 2/m 1'
_symmetry_Int_Tables_number 12
_symmetry_space_group_name_Hall '-C 2y'
_cell_length_a 5.6166
_cell_length_b 8.3150
_cell_length_c 2.8185
_cell_angle_alpha 90.00
_cell_angle_beta 118.68
_cell_angle_gamma 90.00
loop_
_atom_site_label
_atom_site_type_symbol
_atom_site_fract_x
_atom_site_fract_y
_atom_site_fract_z
_atom_site_occupancy
Mg1 Mg 0.0000 0.0000 0.0000 1
P1 P 0.0000 0.5000 0.0000 1
Os1 Os 0.2500 0.2500 0.5000 1
```

=====

--- x ---
Material: MgPOs2
Method: DFT, PBE
State: relaxed

Calculated values
* density: 12368 kg/m3

The structure in CIF format:
```
data_MgPOs2
_symmetry_space_group_name_H-M 'P m m 2'
_symmetry_Int_Tables_number 25
_symmetry_space_group_name_Hall 'P 2 -2'
_cell_length_a 2.8524
_cell_length_b 3.8191
_cell_length_c 5.3704
_cell_angle_alpha 90.00
_cell_angle_beta 90.00
_cell_angle_gamma 90.00
loop_
_atom_site_label
_atom_site_type_symbol
_atom_site_fract_x
_atom_site_fract_y
_atom_site_fract_z
_atom_site_occupancy
Mg1 Mg 0.0000 0.0000 0.0000 1
P1 P 0.5000 0.5000 0.7135 1
Os1 Os 0.0000 0.0000 0.5087 1
Os2 Os 0.5000 0.5000 0.2690 1
```

=====

Tell me which of them is the least stable. Sure, it is w.

=====

--- w ---
Material: MgPOs2
Method: DFT, PBE
State: relaxed

Calculated values
* density: 11961 kg/m3

The structure in CIF format:
```
data_MgPOs2
_symmetry_space_group_name_H-M 'C m m 2'
_symmetry_Int_Tables_number 35
_symmetry_space_group_name_Hall 'C 2 -2'
_cell_length_a 2.9064
_cell_length_b 4.8202
_cell_length_c 8.6360
_cell_angle_alpha 90.00
_cell_angle_beta 90.00
_cell_angle_gamma 90.00
loop_
_atom_site_label
_atom_site_type_symbol
_atom_site_fract_x
_atom_site_fract_y
_atom_site_fract_z
_atom_site_occupancy
Mg1 Mg 0.0000 0.0000 0.0000 1
P1 P 0.0000 0.5000 0.7352 1
Os1 Os 0.0000 0.0000 0.5216 1
Os2 Os 0.0000 0.5000 0.2582 1
```

=====

--- x ---
Material: MgPOs2
Method: DFT, PBE
State: relaxed

Calculated values
* density: 12844 kg/m3

The structure in CIF format:
```
data_MgPOs2
_symmetry_space_group_name_H-M 'P 4/m m m'
_symmetry_Int_Tables_number 123
_symmetry_space_group_name_Hall '-P 4 2'
_cell_length_a 2.9436
_cell_length_b 2.9436
_cell_length_c 6.5017
_cell_angle_alpha 90.00
_cell_angle_beta 90.00
_cell_angle_gamma 90.00
loop_
_atom_site_label
_atom_site_type_symbol
_atom_site_fract_x
_atom_site_fract_y
_atom_site_fract_z
_atom_site_occupancy
Mg1 Mg 0.0000 0.0000 0.0000 1
P1 P 0.0000 0.0000 0.5000 1
Os1 Os 0.5000 0.5000 0.2892 1
```

=====

Tell me which of them is the least stable. Sure, it is w.

=====

--- w ---
Material: MgPOs2
Method: DFT, PBE
State: relaxed

Calculated values
* density: 12483 kg/m3

The structure in CIF format:
```
data_MgPOs2
_symmetry_space_group_name_H-M 'P m m m'
_symmetry_Int_Tables_number 47
_symmetry_space_group_name_Hall '-P 2 2'
_cell_length_a 3.0116
_cell_length_b 4.1353
_cell_length_c 4.6543
_cell_angle_alpha 90.00
_cell_angle_beta 90.00
_cell_angle_gamma 90.00
loop_
_atom_site_label
_atom_site_type_symbol
_atom_site_fract_x
_atom_site_fract_y
_atom_site_fract_z
_atom_site_occupancy
Mg1 Mg 0.0000 0.0000 0.0000 1
P1 P 0.5000 0.0000 0.5000 1
Os1 Os 0.0000 0.5000 0.5000 1
Os2 Os 0.5000 0.5000 0.0000 1
```

=====

--- x ---
Material: MgPOs2
Method: DFT, PBE
State: relaxed

Calculated values
* density: 12879 kg/m3

The structure in CIF format:
```
data_MgPOs2
_symmetry_space_group_name_H-M 'I -4 m 2'
_symmetry_Int_Tables_number 119
_symmetry_space_group_name_Hall 'I -4 -2'
_cell_length_a 3.7085
_cell_length_b 3.7085
_cell_length_c 8.1704
_cell_angle_alpha 90.00
_cell_angle_beta 90.00
_cell_angle_gamma 90.00
loop_
_atom_site_label
_atom_site_type_symbol
_atom_site_fract_x
_atom_site_fract_y
_atom_site_fract_z
_atom_site_occupancy
Mg1 Mg 0.0000 0.0000 0.0000 1
P1 P 0.0000 0.5000 0.2500 1
Os1 Os 0.0000 0.0000 0.5000 1
Os2 Os 0.0000 0.5000 0.7500 1
```

=====

--- y ---
Material: MgPOs2
Method: DFT, PBE
State: relaxed

Calculated values
* density: 11205 kg/m3

The structure in CIF format:
```
data_MgPOs2
_symmetry_space_group_name_H-M 'I -4 2 d'
_symmetry_Int_Tables_number 122
_symmetry_space_group_name_Hall 'I -4 2bw'
_cell_length_a 7.1303
_cell_length_b 7.1303
_cell_length_c 5.0805
_cell_angle_alpha 90.00
_cell_angle_beta 90.00
_cell_angle_gamma 90.00
loop_
_atom_site_label
_atom_site_type_symbol
_atom_site_fract_x
_atom_site_fract_y
_atom_site_fract_z
_atom_site_occupancy
Mg1 Mg 0.0000 0.0000 0.0000 1
P1 P 0.0000 0.0000 0.5000 1
Os1 Os 0.1695 0.2500 0.6250 1
```

=====

--- z ---
Material: MgPOs2
Method: DFT, PBE
State: relaxed

Calculated values
* density: 13426 kg/m3

The structure in CIF format:
```
data_MgPOs2
_symmetry_space_group_name_H-M 'F m -3 m'
_symmetry_Int_Tables_number 225
_symmetry_space_group_name_Hall '-F 4 2 3'
_cell_length_a 5.9960
_cell_length_b 5.9960
_cell_length_c 5.9960
_cell_angle_alpha 90.00
_cell_angle_beta 90.00
_cell_angle_gamma 90.00
loop_
_atom_site_label
_atom_site_type_symbol
_atom_site_fract_x
_atom_site_fract_y
_atom_site_fract_z
_atom_site_occupancy
Mg1 Mg 0.0000 0.0000 0.0000 1
P1 P 0.0000 0.0000 0.5000 1
Os1 Os 0.2500 0.2500 0.2500 1
```

=====

Tell me which of them is the least stable. Sure, it is w.

=====

--- w ---
Material: MgPOs2
Method: DFT, PBE
State: relaxed

Calculated values
* density: 12290 kg/m3

The structure in CIF format:
```
data_MgPOs2
_symmetry_space_group_name_H-M 'R -3 m'
_symmetry_Int_Tables_number 166
_symmetry_space_group_name_Hall '-R 3 2"'
_cell_length_a 2.8865
_cell_length_b 2.8865
_cell_length_c 24.4777
_cell_angle_alpha 90.00
_cell_angle_beta 90.00
_cell_angle_gamma 120.00
loop_
_atom_site_label
_atom_site_type_symbol
_atom_site_fract_x
_atom_site_fract_y
_atom_site_fract_z
_atom_site_occupancy
Mg1 Mg 0.0000 0.0000 0.0000 1
P1 P 0.0000 0.0000 0.5000 1
Os1 Os 0.0000 0.0000 0.2373 1
```

=====

--- x ---
Material: MgPOs2
Method: DFT, PBE
State: relaxed

Calculated values
* density: 12328 kg/m3

The structure in CIF format:
```
data_MgPOs2
_symmetry_space_group_name_H-M 'P 1 2/m 1'
_symmetry_Int_Tables_number 10
_symmetry_space_group_name_Hall '-P 2y'
_cell_length_a 2.9427
_cell_length_b 3.7196
_cell_length_c 5.5492
_cell_angle_alpha 90.00
_cell_angle_beta 104.91
_cell_angle_gamma 90.00
loop_
_atom_site_label
_atom_site_type_symbol
_atom_site_fract_x
_atom_site_fract_y
_atom_site_fract_z
_atom_site_occupancy
Mg1 Mg 0.0000 0.0000 0.0000 1
P1 P 0.0000 0.0000 0.5000 1
Os1 Os 0.3471 0.5000 0.7184 1
```

=====

--- y ---
Material: MgPOs2
Method: DFT, PBE
State: relaxed

Calculated values
* density: 12290 kg/m3

The structure in CIF format:
```
data_MgPOs2
_symmetry_space_group_name_H-M 'F -4 3 m'
_symmetry_Int_Tables_number 216
_symmetry_space_group_name_Hall 'F -4 2 3'
_cell_length_a 6.1753
_cell_length_b 6.1753
_cell_length_c 6.1753
_cell_angle_alpha 90.00
_cell_angle_beta 90.00
_cell_angle_gamma 90.00
loop_
_atom_site_label
_atom_site_type_symbol
_atom_site_fract_x
_atom_site_fract_y
_atom_site_fract_z
_atom_site_occupancy
Mg1 Mg 0.0000 0.0000 0.0000 1
P1 P 0.2500 0.2500 0.2500 1
Os1 Os 0.0000 0.0000 0.5000 1
Os2 Os 0.2500 0.2500 0.7500 1
```

=====

Tell me which of them is the least stable. Sure, it is y.